Entry 1:
# KLa2CdRh

An optimized crystal structure of KLa2CdRh (GGA-PBE, the Alexandria database).

Output
VASP energy	-20.32	eV/cell
energy of formation from the pure elements	-0.22	eV per atom
Fermi-level density of states	1.0030	states/eV per atom
total magnetization	0.0	Bohr magnetons per cell

abc: 5.5417 5.5417 5.5835
angles: 90.00 90.00 90.00
Atoms (fractional coordinates):
Cd  0.0000  0.0000  0.5000
La  0.0000  0.5000  0.0000
La  0.5000  0.0000  0.0000
K  0.5000  0.5000  0.5000
Rh  0.0000  0.0000  0.0000



Entry 2:
# NpMnAl4

An optimized crystal structure of NpMnAl4 (GGA-PBE, the Alexandria database).

Output
VASP energy	-73.78	eV/cell
energy of formation from the pure elements	0.03	eV per atom
Fermi-level density of states	1.9427	states/eV per atom
total magnetization	7.5	Bohr magnetons per cell

abc: 4.8365 6.3926 8.0625
angles: 113.36 107.47 90.00
Atoms (fractional coordinates):
Np  0.2115  0.2116  0.4232
Np  0.7885  0.7884  0.5768
Al  0.3924  0.6674  0.7849
Al  0.3924  0.1175  0.7849
Al  0.0000  0.8120  0.0000
Al  0.6076  0.3326  0.2151
Al  0.6076  0.8825  0.2151
Al  0.8454  0.3453  0.6906
Al  0.1546  0.6547  0.3094
Al  0.0000  0.1880  0.0000
Mn  0.2749  0.5001  0.0002
Mn  0.7251  0.4999  0.9998



Entry 3:
# Sc2CrSi

An optimized crystal structure of Sc2CrSi (GGA-PBE, the Alexandria database).

Output
VASP energy	-28.30	eV/cell
Fermi-level density of states	0.8903	states/eV per atom
total magnetization	3.0	Bohr magnetons per cell
ΔE_f (raw)	-0.15	eV per atom

abc: 5.3300 5.3300 5.3300
angles: 136.19 136.19 63.69
Atoms (fractional coordinates):
Si  0.5000  0.5000  0.0000
Sc  0.0000  0.0000  0.0000
Sc  0.2500  0.7500  0.5000
Cr  0.7500  0.2500  0.5000



Entry 4:
# PmCoGe4

An optimized crystal structure of PmCoGe4 (GGA-PBE, the Alexandria database).

Output
VASP energy	-64.07	eV/cell
energy of formation from the pure elements	-0.29	eV per atom
Fermi-level density of states	0.4696	states/eV per atom
total magnetization	0.0	Bohr magnetons per cell

abc: 3.8772 7.7275 7.3611
angles: 90.00 90.00 90.00
Atoms (fractional coordinates):
Pm  0.0000  0.3456  0.2500
Pm  0.0000  0.6544  0.7500
Ge  0.5000  0.6560  0.4221
Ge  0.0000  0.0000  0.0000
Ge  0.5000  0.0138  0.2500
Ge  0.5000  0.3440  0.9221
Ge  0.0000  0.0000  0.5000
Ge  0.5000  0.3440  0.5779
Ge  0.5000  0.6560  0.0779
Ge  0.5000  0.9862  0.7500
Co  0.0000  0.7665  0.2500
Co  0.0000  0.2335  0.7500